No. 1
# K2CuHg2 (PBE-GGA, relaxed)
# DOS(E_F) in states/eV/f.u.: 2.373
# Raw total energy in eV per atom: -1.3280
# Size of the total moment in μB per formula unit: 0.00
data_K2CuHg2
_chemical_formula_sum 'K2 Cu1 Hg2'
_cell_length_a 6.245
_cell_length_b 6.245
_cell_length_c 6.245
_cell_angle_alpha 113.98
_cell_angle_beta 113.98
_cell_angle_gamma 100.79
_space_group_name_H-M_alt 'P 1'
_space_group_IT_number 1
_space_group_name_Hall 'P 1'
loop_
_atom_site_label
_atom_site_fract_x
_atom_site_fract_y
_atom_site_fract_z
K1 0.250 0.750 0.500
K2 0.750 0.250 0.500
Cu1 0.000 0.000 0.000
Hg1 0.322 0.322 0.000
Hg2 0.678 0.678 0.000

=====

No. 2
# KCu2Hg (PBE-GGA, relaxed)
# DOS(E_F) in states/eV/f.u.: 1.342
# Raw total energy in eV per atom: -2.0934
# Size of the total moment in μB per formula unit: 0.00
data_KCu2Hg
_chemical_formula_sum 'K1 Cu2 Hg1'
_cell_length_a 3.254
_cell_length_b 4.726
_cell_length_c 6.536
_cell_angle_alpha 90.00
_cell_angle_beta 97.38
_cell_angle_gamma 90.00
_space_group_name_H-M_alt 'P 1'
_space_group_IT_number 1
_space_group_name_Hall 'P 1'
loop_
_atom_site_label
_atom_site_fract_x
_atom_site_fract_y
_atom_site_fract_z
K1 0.000 0.000 0.000
Cu1 0.284 0.500 0.640
Cu2 0.716 0.500 0.360
Hg1 0.500 0.000 0.500

=====

No. 3
# KCu2Hg (PBE-GGA, relaxed)
# DOS(E_F) in states/eV/f.u.: 1.166
# Raw total energy in eV per atom: -1.8469
# Size of the total moment in μB per formula unit: 0.00
data_KCu2Hg
_chemical_formula_sum 'K1 Cu2 Hg1'
_cell_length_a 9.865
_cell_length_b 9.865
_cell_length_c 9.865
_cell_angle_alpha 18.59
_cell_angle_beta 18.59
_cell_angle_gamma 18.59
_space_group_name_H-M_alt 'P 1'
_space_group_IT_number 1
_space_group_name_Hall 'P 1'
loop_
_atom_site_label
_atom_site_fract_x
_atom_site_fract_y
_atom_site_fract_z
K1 0.000 0.000 0.000
Cu1 0.239 0.239 0.239
Cu2 0.761 0.761 0.761
Hg1 0.500 0.500 0.500

=====

No. 4
# K3CuHg (PBE-GGA, relaxed)
# DOS(E_F) in states/eV/f.u.: 6.762
# Raw total energy in eV per atom: -1.3401
# Size of the total moment in μB per formula unit: 0.00
data_K3CuHg
_chemical_formula_sum 'K3 Cu1 Hg1'
_cell_length_a 6.318
_cell_length_b 6.318
_cell_length_c 6.318
_cell_angle_alpha 90.00
_cell_angle_beta 90.00
_cell_angle_gamma 90.00
_space_group_name_H-M_alt 'P 1'
_space_group_IT_number 1
_space_group_name_Hall 'P 1'
loop_
_atom_site_label
_atom_site_fract_x
_atom_site_fract_y
_atom_site_fract_z
K1 0.000 0.000 0.500
K2 0.000 0.500 0.000
K3 0.500 0.000 0.000
Cu1 0.000 0.000 0.000
Hg1 0.500 0.500 0.500